! HgSb (meta-GGA SCAN, PBEsol geometry); values from VASP
! Space group ... No. 186
! M_tot ... 0.000 μB/atom
! Calculated density ... 8.4 Mg/m³
! Formation energy from raw total energies ... 163 meV per atom
! V ... 64 Å³/f.u.
! Offset from the most stable computed form ... 0.152 eV/atom
&SYSTEM
  ibrav = 0, nat = 4, ntyp = 2
/
ATOMIC_SPECIES
Sb 121.76 Sb.upf
Hg 200.59 Hg.upf
CELL_PARAMETERS angstrom
4.2497 0.0000 0.0000
-2.1249 3.6803 0.0000
0.0000 0.0000 8.1373
ATOMIC_POSITIONS crystal
Sb 0.6667 0.3333 0.6469
Sb 0.3333 0.6667 0.1469
Hg 0.6667 0.3333 0.9821
Hg 0.3333 0.6667 0.4821

! LiScAu (meta-GGA SCAN, PBEsol geometry); values from VASP
! Space group ... No. 187
! M_tot ... 0.000 μB/atom
! Calculated density ... 7.9 Mg/m³
! V ... 53 Å³/f.u.
! ΔH_f (0 K) ... -602 meV per atom
! Offset from the most stable computed form ... 0.097 eV/atom
&SYSTEM
  ibrav = 0, nat = 3, ntyp = 3
/
ATOMIC_SPECIES
Li 6.94 Li.upf
Au 196.97 Au.upf
Sc 44.96 Sc.upf
CELL_PARAMETERS angstrom
3.1452 0.0000 0.0000
0.0000 4.3927 0.0000
0.0000 -2.1963 3.8042
ATOMIC_POSITIONS crystal
Li 0.0000 0.3333 0.6667
Au 0.0000 0.0000 0.0000
Sc 0.5000 0.6667 0.3333

! Y2ScHg (meta-GGA SCAN, PBEsol geometry); values from VASP
! Space group ... No. 44
! M_tot ... 0.000 μB/atom
! Calculated density ... 6.8 Mg/m³
! V ... 103 Å³/f.u.
! ΔH_f (0 K) ... -393 meV per atom
&SYSTEM
  ibrav = 0, nat = 4, ntyp = 3
/
ATOMIC_SPECIES
Y 88.91 Y.upf
Sc 44.96 Sc.upf
Hg 200.59 Hg.upf
CELL_PARAMETERS angstrom
-1.6664 -2.7356 -1.7409
2.9606 -3.3779 2.4741
-4.3807 2.7524 3.6857
ATOMIC_POSITIONS crystal
Y 0.7761 0.2761 0.5522
Y 0.9968 0.9968 0.9935
Sc 0.2163 0.7163 0.4326
Hg 0.5109 0.5109 0.0217

! NaBeCoBi2 (meta-GGA SCAN, PBEsol geometry); values from VASP
! Space group ... No. 123
! M_tot ... 0.405 μB/atom
! Calculated density ... 6.8 Mg/m³
! V ... 125 Å³/f.u.
! ΔH_f (0 K) ... 1589 meV per atom
! Offset from the most stable computed form ... 1.273 eV/atom
&SYSTEM
  ibrav = 0, nat = 5, ntyp = 4
/
ATOMIC_SPECIES
Be 9.01 Be.upf
Bi 208.98 Bi.upf
Na 22.99 Na.upf
Co 58.93 Co.upf
CELL_PARAMETERS angstrom
4.5051 0.0000 0.0000
0.0000 5.2652 0.0000
0.0000 0.0000 5.2652
ATOMIC_POSITIONS crystal
Be 0.5000 0.5000 0.5000
Bi 0.0000 0.0000 0.5000
Bi 0.0000 0.5000 0.0000
Na 0.0000 0.0000 0.0000
Co 0.5000 0.0000 0.0000

! KNbIN2 (meta-GGA SCAN, PBEsol geometry); values from VASP
! Space group ... No. 123
! M_tot ... 0.200 μB/atom
! Calculated density ... 3.7 Mg/m³
! Formation energy from raw total energies ... 2084 meV per atom
! V ... 129 Å³/f.u.
! Offset from the most stable computed form ... 2.197 eV/atom
&SYSTEM
  ibrav = 0, nat = 5, ntyp = 4
/
ATOMIC_SPECIES
N 14.01 N.upf
Nb 92.91 Nb.upf
I 126.90 I.upf
K 39.10 K.upf
CELL_PARAMETERS angstrom
-2.6350 -3.8104 -0.2947
2.1675 -1.1952 -3.9272
4.0508 -3.0458 3.1626
ATOMIC_POSITIONS crystal
N 0.0000 0.5000 0.0000
N 0.5000 0.0000 0.0000
Nb 0.5000 0.5000 0.5000
I 0.0000 0.0000 0.5000
K 0.0000 0.0000 0.0000

! YSb2As (meta-GGA SCAN, PBEsol geometry); values from VASP
! Space group ... No. 139
! M_tot ... 0.000 μB/atom
! Calculated density ... 7.1 Mg/m³
! Formation energy from raw total energies ... -555 meV per atom
! V ... 96 Å³/f.u.
&SYSTEM
  ibrav = 0, nat = 4, ntyp = 3
/
ATOMIC_SPECIES
Sb 121.76 Sb.upf
Y 88.91 Y.upf
As 74.92 As.upf
CELL_PARAMETERS angstrom
4.2563 0.0000 0.0000
0.0000 4.2563 0.0000
-2.1282 -2.1282 5.2895
ATOMIC_POSITIONS crystal
Sb 0.7500 0.2500 0.5000
Sb 0.2500 0.7500 0.5000
Y 0.5000 0.5000 0.0000
As 0.0000 0.0000 0.0000

! SiSb2Rh (meta-GGA SCAN, PBEsol geometry); values from VASP
! Space group ... No. 119
! M_tot ... 0.000 μB/atom
! Calculated density ... 8.1 Mg/m³
! Formation energy from raw total energies ... 440 meV per atom
! V ... 77 Å³/f.u.
&SYSTEM
  ibrav = 0, nat = 4, ntyp = 3
/
ATOMIC_SPECIES
Si 28.09 Si.upf
Rh 102.91 Rh.upf
Sb 121.76 Sb.upf
CELL_PARAMETERS angstrom
-2.4043 -3.6505 0.3593
0.5457 -0.7808 -4.2812
4.2391 0.1150 2.7659
ATOMIC_POSITIONS crystal
Si 0.5000 0.5000 0.0000
Rh 0.2500 0.7500 0.5000
Sb 0.0000 0.0000 0.0000
Sb 0.7500 0.2500 0.5000

! LaTl3 (meta-GGA SCAN, PBEsol geometry); values from VASP
! Space group ... No. 221
! M_tot ... 0.000 μB/atom
! Calculated density ... 11.4 Mg/m³
! V ... 109 Å³/f.u.
! ΔH_f (0 K) ... -486 meV per atom
&SYSTEM
  ibrav = 0, nat = 4, ntyp = 2
/
ATOMIC_SPECIES
Tl 204.38 Tl.upf
La 138.91 La.upf
CELL_PARAMETERS angstrom
-3.8031 -0.2106 -2.8882
2.4069 -2.8807 -2.9594
-1.6101 -3.8088 2.3980
ATOMIC_POSITIONS crystal
Tl 0.5000 0.0000 0.5000
Tl 0.5000 0.5000 0.0000
Tl 0.0000 0.5000 0.5000
La 0.0000 0.0000 0.0000

What did the fifth record say?
! KNbIN2 (meta-GGA SCAN, PBEsol geometry); values from VASP
! Space group ... No. 123
! M_tot ... 0.200 μB/atom
! Calculated density ... 3.7 Mg/m³
! Formation energy from raw total energies ... 2084 meV per atom
! V ... 129 Å³/f.u.
! Offset from the most stable computed form ... 2.197 eV/atom
&SYSTEM
  ibrav = 0, nat = 5, ntyp = 4
/
ATOMIC_SPECIES
N 14.01 N.upf
Nb 92.91 Nb.upf
I 126.90 I.upf
K 39.10 K.upf
CELL_PARAMETERS angstrom
-2.6350 -3.8104 -0.2947
2.1675 -1.1952 -3.9272
4.0508 -3.0458 3.1626
ATOMIC_POSITIONS crystal
N 0.0000 0.5000 0.0000
N 0.5000 0.0000 0.0000
Nb 0.5000 0.5000 0.5000
I 0.0000 0.0000 0.5000
K 0.0000 0.0000 0.0000

Please write out number 8 again, unchanged.
! LaTl3 (meta-GGA SCAN, PBEsol geometry); values from VASP
! Space group ... No. 221
! M_tot ... 0.000 μB/atom
! Calculated density ... 11.4 Mg/m³
! V ... 109 Å³/f.u.
! ΔH_f (0 K) ... -486 meV per atom
&SYSTEM
  ibrav = 0, nat = 4, ntyp = 2
/
ATOMIC_SPECIES
Tl 204.38 Tl.upf
La 138.91 La.upf
CELL_PARAMETERS angstrom
-3.8031 -0.2106 -2.8882
2.4069 -2.8807 -2.9594
-1.6101 -3.8088 2.3980
ATOMIC_POSITIONS crystal
Tl 0.5000 0.0000 0.5000
Tl 0.5000 0.5000 0.0000
Tl 0.0000 0.5000 0.5000
La 0.0000 0.0000 0.0000